1.
# PBE-GGA Sn2PbO, relaxed
data_Sn2PbO
_cell_length_a 5.657
_cell_length_b 5.657
_cell_length_c 7.913
_cell_angle_alpha 69.06
_cell_angle_beta 69.06
_cell_angle_gamma 90.00
_symmetry_space_group_name_H-M 'P 1'
_symmetry_Int_Tables_number 1
loop_
_symmetry_equiv_pos_as_xyz
'x,y,z'
loop_
_atom_site_label
_atom_site_type_symbol
_atom_site_fract_x
_atom_site_fract_y
_atom_site_fract_z
Pb1 Pb 0.000 0.000 0.000
Pb2 Pb 0.750 0.250 0.500
Sn1 Sn 0.497 0.125 0.250
Sn2 Sn 0.253 0.625 0.250
Sn3 Sn 0.375 0.503 0.750
Sn4 Sn 0.875 0.747 0.750
O1 O 0.500 0.500 0.000
O2 O 0.250 0.750 0.500
# Formation energy without anion corrections, meV per atom: -278.0
# SG: I-42d
# Electronic total energy, hartree per atom: -0.163

***

2.
# PBE-GGA IrRhBr6, relaxed
data_IrRhBr6
_cell_length_a 6.775
_cell_length_b 6.775
_cell_length_c 6.309
_cell_angle_alpha 97.93
_cell_angle_beta 97.93
_cell_angle_gamma 124.26
_symmetry_space_group_name_H-M 'P 1'
_symmetry_Int_Tables_number 1
loop_
_symmetry_equiv_pos_as_xyz
'x,y,z'
loop_
_atom_site_label
_atom_site_type_symbol
_atom_site_fract_x
_atom_site_fract_y
_atom_site_fract_z
Ir1 Ir 0.000 0.000 0.000
Rh1 Rh 0.500 0.500 0.500
Br1 Br 0.599 0.879 0.762
Br2 Br 0.879 0.599 0.762
Br3 Br 0.121 0.401 0.238
Br4 Br 0.401 0.121 0.238
Br5 Br 0.210 0.210 0.716
Br6 Br 0.790 0.790 0.284
# Formation energy without anion corrections, meV per atom: -168.1
# SG: C2/m
# Electronic total energy, hartree per atom: -0.127

***

3.
# PBE-GGA Re3Se, relaxed
data_Re3Se
_cell_length_a 4.427
_cell_length_b 5.328
_cell_length_c 5.559
_cell_angle_alpha 90.00
_cell_angle_beta 90.00
_cell_angle_gamma 90.00
_symmetry_space_group_name_H-M 'P 1'
_symmetry_Int_Tables_number 1
loop_
_symmetry_equiv_pos_as_xyz
'x,y,z'
loop_
_atom_site_label
_atom_site_type_symbol
_atom_site_fract_x
_atom_site_fract_y
_atom_site_fract_z
Re1 Re 0.500 0.000 0.313
Re2 Re 0.000 0.500 0.687
Re3 Re 0.000 0.725 0.124
Re4 Re 0.000 0.275 0.124
Re5 Re 0.500 0.225 0.876
Re6 Re 0.500 0.775 0.876
Se1 Se 0.000 0.000 0.537
Se2 Se 0.500 0.500 0.463
# Formation energy without anion corrections, meV per atom: 625.3
# SG: Pmmn
# Electronic total energy, hartree per atom: -0.352

***

4.
# PBE-GGA Be2AgCl, relaxed
data_Be2AgCl
_cell_length_a 4.548
_cell_length_b 4.548
_cell_length_c 2.935
_cell_angle_alpha 90.00
_cell_angle_beta 90.00
_cell_angle_gamma 107.90
_symmetry_space_group_name_H-M 'P 1'
_symmetry_Int_Tables_number 1
loop_
_symmetry_equiv_pos_as_xyz
'x,y,z'
loop_
_atom_site_label
_atom_site_type_symbol
_atom_site_fract_x
_atom_site_fract_y
_atom_site_fract_z
Be1 Be 0.000 0.000 0.000
Be2 Be 0.500 0.500 0.000
Ag1 Ag 0.000 0.500 0.500
Cl1 Cl 0.500 0.000 0.500
# Formation energy without anion corrections, meV per atom: 525.8
# SG: Cmmm
# Electronic total energy, hartree per atom: -0.092

***

5.
# PBE-GGA Cd2In3Hg2, relaxed
data_Cd2In3Hg2
_cell_length_a 3.390
_cell_length_b 6.994
_cell_length_c 8.546
_cell_angle_alpha 67.45
_cell_angle_beta 97.50
_cell_angle_gamma 79.00
_symmetry_space_group_name_H-M 'P 1'
_symmetry_Int_Tables_number 1
loop_
_symmetry_equiv_pos_as_xyz
'x,y,z'
loop_
_atom_site_label
_atom_site_type_symbol
_atom_site_fract_x
_atom_site_fract_y
_atom_site_fract_z
Cd1 Cd 0.287 0.862 0.434
Cd2 Cd 0.713 0.138 0.566
In1 In 0.000 0.000 0.000
In2 In 0.147 0.425 0.712
In3 In 0.853 0.575 0.288
Hg1 Hg 0.436 0.283 0.149
Hg2 Hg 0.564 0.717 0.851
# E_form, eV per atom: 0.023
# SG: P-1
# Electronic total energy, hartree per atom: -0.055

***

6.
# PBE-GGA SbRh2W, relaxed
data_SbRh2W
_cell_length_a 4.797
_cell_length_b 4.797
_cell_length_c 4.921
_cell_angle_alpha 81.32
_cell_angle_beta 81.32
_cell_angle_gamma 35.79
_symmetry_space_group_name_H-M 'P 1'
_symmetry_Int_Tables_number 1
loop_
_symmetry_equiv_pos_as_xyz
'x,y,z'
loop_
_atom_site_label
_atom_site_type_symbol
_atom_site_fract_x
_atom_site_fract_y
_atom_site_fract_z
Sb1 Sb 0.497 0.497 0.531
Rh1 Rh 0.998 0.998 0.025
Rh2 Rh 0.748 0.748 0.739
W1 W 0.257 0.257 0.205
# Formation energy without anion corrections, meV per atom: 19.4
# SG: Cm
# Electronic total energy, hartree per atom: -0.291